Entry 1:
A geometry-optimized LiGdIn structure, computed with PBE.

Properties
Its calculated density is 5.31 g cm⁻³. Its space-group type is F-43m. The calculation puts the total energy at -3.12 eV per atom.

Lattice parameters (Å, degrees): 7.0415 7.0415 7.0415 90.00 90.00 90.00
Atoms (fractional coordinates):
Li  0.0000  0.0000  0.0000
Li  0.0000  0.5000  0.5000
Li  0.5000  0.0000  0.5000
Li  0.5000  0.5000  0.0000
Gd  0.0000  0.0000  0.5000
Gd  0.0000  0.5000  0.0000
Gd  0.5000  0.0000  0.0000
Gd  0.5000  0.5000  0.5000
In  0.2500  0.2500  0.7500
In  0.2500  0.7500  0.2500
In  0.7500  0.2500  0.2500
In  0.7500  0.7500  0.7500


Entry 2:
A geometry-optimized GdLuIn5 structure, computed with PBE.

Properties
Its calculated density is 8.13 g cm⁻³. Its space-group type is P4/mmm. The calculation puts the total energy at -3.56 eV per atom.

Lattice parameters (Å, degrees): 4.6856 4.6856 8.4353 90.00 90.00 90.00
Atoms (fractional coordinates):
Gd  0.0000  0.0000  0.0000
Lu  0.0000  0.0000  0.5000
In  0.0000  0.5000  0.2695
In  0.0000  0.5000  0.7305
In  0.5000  0.0000  0.2695
In  0.5000  0.0000  0.7305
In  0.5000  0.5000  0.0000


Entry 3:
A geometry-optimized GdLuIn structure, computed with PBE.

Properties
Its calculated density is 7.69 g cm⁻³. Its space-group type is F-43m. The calculation puts the total energy at -4.06 eV per atom.

Lattice parameters (Å, degrees): 7.2803 7.2803 7.2803 90.00 90.00 90.00
Atoms (fractional coordinates):
Gd  0.0000  0.0000  0.0000
Gd  0.0000  0.5000  0.5000
Gd  0.5000  0.0000  0.5000
Gd  0.5000  0.5000  0.0000
Lu  0.0000  0.0000  0.5000
Lu  0.0000  0.5000  0.0000
Lu  0.5000  0.0000  0.0000
Lu  0.5000  0.5000  0.5000
In  0.2500  0.2500  0.2500
In  0.2500  0.7500  0.7500
In  0.7500  0.2500  0.7500
In  0.7500  0.7500  0.2500